Here is crystalline CuPAu4 at its relaxed geometry from the Alexandria database. Energies are from GGA-PBE.

Lattice parameters (Å, degrees): 5.4606 5.4606 5.4606 60.00 60.00 60.00
Element x y z (fractional)
Cu: 0.0000 0.0000 0.0000
P: 0.7500 0.7500 0.7500
Au: 0.3749 0.3749 0.3749
Au: 0.3749 0.3749 0.8754
Au: 0.3749 0.8754 0.3749
Au: 0.8754 0.3749 0.3749

**Total magnetization**: 0.0 μB/f.u.
**E_tot**: -3.26 eV per atom
**Energy relative to the elements**: 0.513 eV per atom
**D(E_F)**: 2.4 states/eV/f.u.

---

Here is crystalline AcErBe2Si2 at its relaxed geometry from the Alexandria database. Energies are from GGA-PBE.

Lattice parameters (Å, degrees): 3.9535 3.9535 8.6220 90.00 90.00 120.00
Element x y z (fractional)
Ac: 0.0000 0.0000 0.0000
Er: 0.0000 0.0000 0.5000
Be: 0.3333 0.6667 0.7248
Be: 0.6667 0.3333 0.2752
Si: 0.3333 0.6667 0.2767
Si: 0.6667 0.3333 0.7233

**Total magnetization**: 0.0 μB/f.u.
**E_tot**: -5.03 eV per atom
**D(E_F)**: 3.8 states/eV/f.u.
**Raw formation energy**: -0.537 eV per atom